Record 1
Compound: LiBi2PO6
Source: Alexandria
Functional: PBE
Structure: optimized geometry

a b c (Å): 9.824 5.663 14.155
angles (deg): 90.00 133.93 90.00
Fractional positions:
Li: 0.131 0.249 0.000
Li: 0.131 0.251 0.500
Li: 0.869 0.749 0.500
Li: 0.869 0.751 0.000
Bi: 0.141 0.244 0.749
Bi: 0.141 0.256 0.249
Bi: 0.357 0.744 0.749
Bi: 0.357 0.756 0.249
Bi: 0.643 0.244 0.751
Bi: 0.643 0.256 0.251
Bi: 0.859 0.744 0.751
Bi: 0.859 0.756 0.251
P: 0.343 0.750 0.000
P: 0.343 0.750 0.500
P: 0.657 0.250 0.000
P: 0.657 0.250 0.500
O: 0.097 0.570 0.652
O: 0.097 0.930 0.152
O: 0.187 0.557 0.935
O: 0.187 0.943 0.435
O: 0.207 0.070 0.652
O: 0.207 0.430 0.152
O: 0.317 0.556 0.565
O: 0.317 0.944 0.065
O: 0.325 0.631 0.392
O: 0.325 0.869 0.892
O: 0.460 0.131 0.392
O: 0.460 0.369 0.892
O: 0.540 0.631 0.108
O: 0.540 0.869 0.608
O: 0.675 0.131 0.108
O: 0.675 0.369 0.608
O: 0.683 0.056 0.935
O: 0.683 0.444 0.435
O: 0.793 0.570 0.848
O: 0.793 0.930 0.348
O: 0.813 0.057 0.565
O: 0.813 0.443 0.065
O: 0.903 0.070 0.848
O: 0.903 0.430 0.348

Calculated values
**DOS at the Fermi energy**: 0.00 states/eV per cell
**Crystal system**: monoclinic
**Density**: 6463 kg/m3
**Final energy**: -6.27 eV per atom

***

Record 2
Compound: LiPaBiO2
Source: Alexandria
Functional: PBE
Structure: optimized geometry

a b c (Å): 7.025 7.025 7.025
angles (deg): 147.90 147.90 46.03
Fractional positions:
Li: 0.000 0.000 0.000
Pa: 0.364 0.364 0.000
Bi: 0.688 0.688 0.000
O: 0.434 0.934 0.500
O: 0.934 0.434 0.500

Calculated values
**DOS at the Fermi energy**: 2.48 states/eV per cell
**Crystal system**: tetragonal
**Density**: 8155 kg/m3
**Final energy**: -7.24 eV per atom

***

Record 3
Compound: LiPaBi2O6
Source: Alexandria
Functional: PBE
Structure: optimized geometry

a b c (Å): 5.919 5.395 11.786
angles (deg): 90.00 120.06 90.00
Fractional positions:
Li: 0.000 0.000 0.000
Li: 0.000 0.500 0.500
Pa: 0.500 0.000 0.500
Pa: 0.500 0.500 0.000
Bi: 0.200 0.003 0.699
Bi: 0.200 0.497 0.199
Bi: 0.800 0.503 0.801
Bi: 0.800 0.997 0.301
O: 0.170 0.704 0.983
O: 0.170 0.796 0.483
O: 0.201 0.220 0.338
O: 0.201 0.280 0.838
O: 0.454 0.234 0.645
O: 0.454 0.266 0.145
O: 0.546 0.734 0.855
O: 0.546 0.766 0.355
O: 0.799 0.720 0.162
O: 0.799 0.780 0.662
O: 0.830 0.204 0.517
O: 0.830 0.296 0.017

Calculated values
**DOS at the Fermi energy**: 0.00 states/eV per cell
**Crystal system**: monoclinic
**Density**: 7665 kg/m3
**Final energy**: -7.04 eV per atom

***

Record 4
Compound: LiPaBi2O8
Source: Alexandria
Functional: PBE
Structure: optimized geometry

a b c (Å): 6.287 6.287 6.287
angles (deg): 108.02 108.02 112.41
Fractional positions:
Li: 0.000 0.000 0.000
Pa: 0.250 0.750 0.500
Bi: 0.500 0.500 0.000
Bi: 0.750 0.250 0.500
O: 0.309 0.103 0.793
O: 0.309 0.516 0.207
O: 0.346 0.034 0.311
O: 0.484 0.691 0.793
O: 0.723 0.034 0.689
O: 0.897 0.691 0.207
O: 0.966 0.277 0.311
O: 0.966 0.654 0.689

Calculated values
**DOS at the Fermi energy**: 1.24 states/eV per cell
**Crystal system**: tetragonal
**Density**: 6820 kg/m3
**Final energy**: -6.38 eV per atom

***

Record 5
Compound: LiPaBiO6
Source: Alexandria
Functional: PBE
Structure: optimized geometry

a b c (Å): 5.346 5.346 4.911
angles (deg): 90.00 90.00 120.00
Fractional positions:
Li: 0.000 0.000 0.000
Pa: 0.333 0.667 0.500
Bi: 0.667 0.333 0.000
O: 0.337 0.001 0.756
O: 0.337 0.337 0.244
O: 0.663 0.001 0.244
O: 0.663 0.663 0.756
O: 0.999 0.337 0.756
O: 0.999 0.663 0.244

Calculated values
**DOS at the Fermi energy**: 8.82 states/eV per cell
**Crystal system**: trigonal
**Density**: 7419 kg/m3
**Final energy**: -6.91 eV per atom

***

Record 6
Compound: Li4Pa3BiO12
Source: Alexandria
Functional: PBE
Structure: optimized geometry

a b c (Å): 6.948 6.948 6.948
angles (deg): 106.14 106.14 106.14
Fractional positions:
Li: 0.000 0.000 0.000
Li: 0.000 0.448 0.552
Li: 0.448 0.552 0.000
Li: 0.552 0.000 0.448
Pa: 0.050 0.950 0.500
Pa: 0.500 0.050 0.950
Pa: 0.950 0.500 0.050
Bi: 0.500 0.500 0.500
O: 0.000 0.612 0.388
O: 0.000 0.838 0.162
O: 0.162 0.000 0.838
O: 0.192 0.287 0.517
O: 0.287 0.517 0.192
O: 0.388 0.000 0.612
O: 0.483 0.713 0.808
O: 0.517 0.192 0.287
O: 0.612 0.388 0.000
O: 0.713 0.808 0.483
O: 0.808 0.483 0.713
O: 0.838 0.162 0.000

Calculated values
**DOS at the Fermi energy**: 1.25 states/eV per cell
**Crystal system**: trigonal
**Density**: 6523 kg/m3
**Final energy**: -7.48 eV per atom